[1]
# EuPN2

A relaxed EuPN2 crystal (GGA-PBE, Alexandria via LeMat-Bulk).

Cell lengths 3.9181, 3.9181, 6.0053 Å; angles 70.96, 70.96, 60.00 degrees
With the nearest neighbours (Å) after each atom.
Element x y z (fractional)
N  0.9059  0.9059  0.2823  1 P 1.57
Eu  0.5000  0.5000  0.5000  6 N 2.57
N  0.0941  0.0941  0.7177  1 P 1.57
P  0.0000  0.0000  0.0000  2 N 1.57

VASP energy = -8.45 eV/atom
formation energy (no corrections) = -369 meV per atom
space group = No. 166
crystal system = trigonal

[2]
# EuPaN3

A relaxed EuPaN3 crystal (GGA-PBE, Alexandria via LeMat-Bulk).

Cell lengths 4.3464, 4.3464, 4.3464 Å; angles 90.00, 90.00, 90.00 degrees
With the nearest neighbours (Å) after each atom.
Element x y z (fractional)
Eu  0.5000  0.5000  0.5000  12 N 3.07
N  0.0000  0.0000  0.5000  2 Pa 2.17
Pa  0.0000  0.0000  0.0000  6 N 2.17
N  0.0000  0.5000  0.0000  2 Pa 2.17
N  0.5000  0.0000  0.0000  2 Pa 2.17

VASP energy = -9.80 eV/atom
formation energy (no corrections) = -850 meV per atom
space group = No. 221
crystal system = cubic